CaB | PBE-GGA | relaxed

Unit cell a=10.0641 b=10.0641 c=3.2089 alpha=90.00 beta=90.00 gamma=90.00
With the nearest neighbours (Å) after each atom.
Fractional coordinates of all 16 atoms:
B  0.2356  0.7644  0.0000  2 B 1.66
Ca  0.5000  0.2534  0.0000  6 B 2.67-2.87
Ca  0.7466  0.5000  0.0000  6 B 2.67-2.87
Ca  0.0000  0.2466  0.5000  6 B 2.67-2.87
Ca  0.7534  0.0000  0.5000  6 B 2.67-2.87
B  0.7644  0.2356  0.0000  2 B 1.66
B  0.2644  0.7356  0.5000  2 B 1.66
B  0.7644  0.7644  0.0000  2 B 1.66
Ca  0.0000  0.7534  0.5000  6 B 2.67-2.87
B  0.7356  0.7356  0.5000  2 B 1.66
Ca  0.5000  0.7466  0.0000  6 B 2.67-2.87
B  0.7356  0.2644  0.5000  2 B 1.66
Ca  0.2466  0.0000  0.5000  6 B 2.67-2.87
B  0.2356  0.2356  0.0000  2 B 1.66
Ca  0.2534  0.5000  0.0000  6 B 2.67-2.87
B  0.2644  0.2644  0.5000  2 B 1.66

Computed properties:
Formation energy in eV/atom: -0.11
Distance to the lowest polymorph of the same formula in meV/atom: 26
Space group: No. 139

***

CaB11 | PBE-GGA | relaxed

Unit cell a=8.6515 b=6.5270 c=6.5270 alpha=63.95 beta=48.49 gamma=48.49
With the nearest neighbours (Å) after each atom.
Fractional coordinates of all 24 atoms:
B  0.6083  0.3361  0.0579  2 B 1.67-1.87
B  0.6944  0.1639  0.5579  2 B 1.67-1.87
B  0.6083  0.0579  0.3361  2 B 1.67-1.87
B  0.0000  0.0000  0.0000  4 B 2.04
Ca  0.2500  0.5000  0.5000  8 B 2.35
B  0.3750  0.7500  0.7500  4 B 1.67
B  0.4162  0.4421  0.8361  2 B 1.67-1.87
B  0.7500  0.5000  0.5000  4 B 2.04
B  0.1417  0.4421  0.1639  2 B 1.67-1.87
B  0.1417  0.1639  0.4421  2 B 1.67-1.87
B  0.3338  0.6639  0.0579  2 B 1.67-1.87
B  0.0023  0.9421  0.6639  2 B 1.67-1.87
B  0.3338  0.0579  0.6639  2 B 1.67-1.87
B  0.8750  0.2500  0.2500  4 B 1.67
B  0.7477  0.5579  0.8361  2 B 1.67-1.87
B  0.4162  0.8361  0.4421  2 B 1.67-1.87
B  0.8750  0.2500  0.7500  4 B 1.67
B  0.0556  0.3361  0.9421  2 B 1.67-1.87
B  0.7477  0.8361  0.5579  2 B 1.67-1.87
B  0.6944  0.5579  0.1639  2 B 1.67-1.87
B  0.0556  0.9421  0.3361  2 B 1.67-1.87
B  0.0023  0.6639  0.9421  2 B 1.67-1.87
Ca  0.5000  0.0000  0.0000  8 B 2.35
B  0.8750  0.7500  0.2500  4 B 1.67

Computed properties:
Formation energy in eV/atom: 0.71
Space group: No. 141

***

CaB | PBE-GGA | relaxed

Unit cell a=7.4978 b=7.4978 c=7.4978 alpha=90.00 beta=90.00 gamma=90.00
With the nearest neighbours (Å) after each atom.
Fractional coordinates of all 12 atoms:
B  0.2500  0.5000  0.0000  4 Ca 2.65
B  0.0000  0.7500  0.5000  4 Ca 2.65
B  0.5000  0.0000  0.2500  4 Ca 2.65
B  0.0000  0.2500  0.5000  4 Ca 2.65
Ca  0.0000  0.5000  0.2500  4 B 2.65
Ca  0.7500  0.0000  0.5000  4 B 2.65
Ca  0.5000  0.7500  0.0000  4 B 2.65
Ca  0.0000  0.5000  0.7500  4 B 2.65
Ca  0.5000  0.2500  0.0000  4 B 2.65
Ca  0.2500  0.0000  0.5000  4 B 2.65
B  0.5000  0.0000  0.7500  4 Ca 2.65
B  0.7500  0.5000  0.0000  4 Ca 2.65

Computed properties:
Formation energy in eV/atom: 1.55
Distance to the lowest polymorph of the same formula in meV/atom: 1693
Space group: No. 223

***

CaB | PBE-GGA | relaxed

Unit cell a=5.8984 b=5.8984 c=5.0512 alpha=90.00 beta=90.00 gamma=90.00
With the nearest neighbours (Å) after each atom.
Fractional coordinates of all 8 atoms:
Ca  0.3031  0.6969  0.5000  4 B 2.64-2.67
B  0.4081  0.5919  0.0000  1 B 1.53
Ca  0.1969  0.1969  0.0000  4 B 2.64-2.67
Ca  0.6969  0.3031  0.5000  4 B 2.64-2.67
Ca  0.8031  0.8031  0.0000  4 B 2.64-2.67
B  0.9081  0.9081  0.5000  1 B 1.53
B  0.0919  0.0919  0.5000  1 B 1.53
B  0.5919  0.4081  0.0000  1 B 1.53

Computed properties:
Formation energy in eV/atom: 0.23
Distance to the lowest polymorph of the same formula in meV/atom: 367
Space group: No. 136

***

no.,total magnetic moment (μB per cell)
1,0.000
2,0.000
3,11.110
4,0.000